Record 1
B3SeCl (meta-GGA SCAN, PBEsol geometry); formation energy from raw total energies = 2.485 eV per atom; ρ = 4.04 g cm⁻³
1.0
-2.0096 0.7316 3.2870
0.9080 -3.5683 1.3493
3.2427 1.4525 1.6592
Se Cl B
1 1 3
direct
0.5000 0.5000 0.5000
0.0000 0.0000 0.0000
0.5000 0.0000 0.0000
0.0000 0.5000 0.0000
0.0000 0.0000 0.5000

=====

Record 2
Rb2GeB (meta-GGA SCAN, PBEsol geometry); ΔH_f (0 K) = 0.371 eV per atom; ρ = 2.69 g cm⁻³
1.0
3.7547 0.0000 0.0000
1.8773 9.1378 0.0000
1.8773 0.0000 9.1378
Rb Ge B
4 2 2
direct
0.4100 0.2150 0.7150
0.8750 0.7150 0.7850
0.3750 0.2850 0.2150
0.3400 0.7850 0.2850
0.7500 0.5000 0.5000
0.0000 0.0000 0.0000
0.5000 0.0000 0.0000
0.2500 0.5000 0.5000

=====

Record 3
Dy2Ga5Cu12 (meta-GGA SCAN, PBEsol geometry); ΔH_f (0 K) = -0.258 eV per atom; ρ = 9.07 g cm⁻³
1.0
6.4515 0.0194 0.0174
0.7698 6.4054 0.0174
0.7698 0.6849 6.3687
Cu Ga Dy
12 5 2
direct
0.6512 0.6512 0.1587
0.8413 0.3488 0.3488
0.3488 0.8413 0.3488
0.0000 0.3039 0.6961
0.3039 0.0000 0.6961
0.6961 0.3039 0.0000
0.6512 0.1587 0.6512
0.1587 0.6512 0.6512
0.6961 0.0000 0.3039
0.3039 0.6961 0.0000
0.0000 0.6961 0.3039
0.3488 0.3488 0.8413
0.0000 0.0000 0.5000
0.0000 0.5000 0.0000
0.5000 0.0000 0.0000
0.0976 0.0976 0.0976
0.9024 0.9024 0.9024
0.3462 0.3462 0.3462
0.6538 0.6538 0.6538

=====

Record 4
K4Ca (meta-GGA SCAN, PBEsol geometry); ΔH_f (0 K) = 0.298 eV per atom; ρ = 0.80 g cm⁻³
1.0
8.0827 0.0000 0.0000
-2.6942 7.6204 0.0000
-2.6942 -3.8102 6.5995
K Ca
4 1
direct
0.5000 0.5000 0.5000
0.5000 0.0000 0.0000
0.0000 0.5000 0.0000
0.0000 0.0000 0.5000
0.0000 0.0000 0.0000

=====

Record 5
CrRe2Si (meta-GGA SCAN, PBEsol geometry); formation energy from raw total energies = -0.079 eV per atom; ρ = 14.30 g cm⁻³
1.0
2.9993 0.0000 0.0000
0.0000 4.2304 0.0000
-1.4997 -2.1152 4.1398
Si Re Cr
1 2 1
direct
0.5000 0.0000 0.0000
0.2440 0.2440 0.4880
0.7560 0.7560 0.5120
0.0000 0.5000 0.0000

=====

Record 6
Gd2Ti12Cu9O36 (meta-GGA SCAN, PBEsol geometry); formation energy from raw total energies = -2.605 eV per atom; ρ = 5.65 g cm⁻³
1.0
6.3884 0.0000 0.0000
0.0000 10.4006 0.0000
0.0000 -5.2003 9.0072
O Ti Cu Gd
36 12 9 2
direct
0.1461 0.3500 0.5263
0.8306 0.8353 0.9847
0.4088 0.7300 0.9546
0.8306 0.0153 0.8506
0.0873 0.8818 0.5894
0.1461 0.1764 0.6500
0.5912 0.2700 0.0454
0.5159 0.3172 0.8085
0.2510 0.4495 0.0745
0.9127 0.5894 0.7076
0.5912 0.9546 0.2247
0.7490 0.5505 0.9255
0.0873 0.4106 0.2924
0.9127 0.2924 0.8818
0.4841 0.6828 0.1915
0.4841 0.8085 0.4913
0.4841 0.5087 0.3172
0.1694 0.9847 0.1494
0.5912 0.7753 0.7300
0.8539 0.8236 0.3500
0.5159 0.1915 0.5087
0.8539 0.6500 0.4737
0.0873 0.7076 0.1182
0.1694 0.1647 0.0153
0.8539 0.5263 0.1764
0.8306 0.1494 0.1647
0.4088 0.0454 0.7753
0.2510 0.6250 0.5505
0.1461 0.4737 0.8236
0.1694 0.8506 0.8353
0.7490 0.0745 0.6250
0.9127 0.1182 0.4106
0.2510 0.9255 0.3750
0.4088 0.2247 0.2700
0.7490 0.3750 0.4495
0.5159 0.4913 0.6828
0.3398 0.3333 0.6667
0.3378 0.8423 0.1612
0.0000 0.0000 0.5000
0.6602 0.6667 0.3333
0.6622 0.1612 0.3189
0.0000 0.5000 0.5000
0.6622 0.1577 0.8388
0.0000 0.0000 0.0000
0.0000 0.5000 0.0000
0.3378 0.3189 0.1577
0.6622 0.6811 0.8423
0.3378 0.8388 0.6811
0.1604 0.1684 0.8315
0.1604 0.6631 0.8316
0.8396 0.3369 0.1684
0.8396 0.8315 0.6631
0.5000 0.0000 0.5000
0.8396 0.8316 0.1685
0.5000 0.5000 0.0000
0.1604 0.1685 0.3369
0.5000 0.5000 0.5000
0.1713 0.6667 0.3333
0.8287 0.3333 0.6667

=====

Record 7
NdGa6Fe6 (meta-GGA SCAN, PBEsol geometry); ΔH_f (0 K) = -0.310 eV per atom; ρ = 8.33 g cm⁻³
1.0
-1.8150 2.1657 4.0853
1.7925 -3.0642 5.4406
4.0330 4.4689 2.4425
Ga Fe Nd
6 6 1
direct
0.3464 0.6536 0.6536
0.6536 0.3464 0.3464
0.0000 0.6630 0.3370
0.3105 0.1895 0.1895
0.6895 0.8105 0.8105
0.0000 0.3370 0.6630
0.5000 0.7564 0.2436
0.0000 0.0000 0.5000
0.5000 0.5000 0.0000
0.0000 0.5000 0.0000
0.5000 0.2436 0.7564
0.5000 0.0000 0.5000
0.0000 0.0000 0.0000

=====

Record 8
CoBiF2 (meta-GGA SCAN, PBEsol geometry); energy relative to the lowest polymorph listed for this composition = 0 meV per atom; formation energy from raw total energies = -1.399 eV per atom; ρ = 7.25 g cm⁻³
1.0
3.1949 0.0000 0.0000
1.5975 2.7669 0.0000
1.5975 0.9223 7.9241
Bi Co F
1 1 2
direct
0.0000 0.0000 0.0000
0.5000 0.5000 0.5000
0.8735 0.8735 0.3794
0.1265 0.1265 0.6206

=====

Record 9
Tb2CoGe2 (meta-GGA SCAN, PBEsol geometry); ΔH_f (0 K) = -0.773 eV per atom; ρ = 9.04 g cm⁻³
1.0
-4.0033 0.7793 -0.7536
-2.9857 0.2414 4.6970
-0.4951 9.1512 0.6802
Tb Co Ge
4 2 4
direct
0.8106 0.2629 0.1159
0.0044 0.3237 0.6676
0.9956 0.6763 0.3324
0.1894 0.7371 0.8841
0.7253 0.8944 0.6551
0.2747 0.1056 0.3449
0.6594 0.2411 0.4400
0.3406 0.7589 0.5600
0.4871 0.1484 0.8775
0.5129 0.8516 0.1225

=====

Record 10
LiSI3 (meta-GGA SCAN, PBEsol geometry); formation energy from raw total energies = 0.314 eV per atom; ρ = 4.86 g cm⁻³
1.0
5.2330 0.0000 0.0000
0.0000 5.2330 0.0000
0.0000 0.0000 5.2330
Li I S
1 3 1
direct
0.0000 0.0000 0.0000
0.5000 0.0000 0.0000
0.0000 0.0000 0.5000
0.0000 0.5000 0.0000
0.5000 0.5000 0.5000

=====

Record 11
Zr3CuN (meta-GGA SCAN, PBEsol geometry); formation energy from raw total energies = -0.835 eV per atom; ρ = 6.97 g cm⁻³
1.0
-2.6609 0.7772 -3.3835
-1.8190 -3.9432 0.5248
-2.9569 1.7263 2.7220
Zr N Cu
3 1 1
direct
0.0000 0.5000 0.0000
0.0000 0.0000 0.5000
0.5000 0.0000 0.0000
0.0000 0.0000 0.0000
0.5000 0.5000 0.5000

=====

Record 12
CrInIr3 (meta-GGA SCAN, PBEsol geometry); energy relative to the lowest polymorph listed for this composition = 0 meV per atom; ΔH_f (0 K) = 1.168 eV per atom; ρ = 13.89 g cm⁻³
1.0
4.4630 0.0000 0.0000
0.0000 4.4630 0.0000
0.0000 0.0000 4.4630
In Ir Cr
1 3 1
direct
0.5000 0.5000 0.5000
0.0000 0.5000 0.0000
0.5000 0.0000 0.0000
0.0000 0.0000 0.5000
0.0000 0.0000 0.0000

=====

Record 13
BeCr2Re (meta-GGA SCAN, PBEsol geometry); ΔH_f (0 K) = 0.060 eV per atom; ρ = 11.06 g cm⁻³
1.0
-1.8403 -0.9504 -2.5430
1.4638 -2.9348 0.0375
-2.7242 0.5237 3.8907
Cr Be Re
2 1 1
direct
0.2500 0.7500 0.5000
0.7500 0.2500 0.5000
0.0000 0.0000 0.0000
0.5000 0.5000 0.0000

=====

Record 14
Zn2AgAu2 (meta-GGA SCAN, PBEsol geometry); energy relative to the lowest polymorph listed for this composition = 45 meV per atom; ΔH_f (0 K) = -0.157 eV per atom; ρ = 12.55 g cm⁻³
1.0
-2.2061 0.0322 2.8464
0.6569 -3.4982 0.5487
5.7366 3.2653 2.1308
Au Ag Zn
2 1 2
direct
0.3958 0.3958 0.7916
0.6042 0.6042 0.2084
0.0000 0.0000 0.0000
0.2500 0.7500 0.5000
0.7500 0.2500 0.5000

=====

Record 15
ScTa2Fe (meta-GGA SCAN, PBEsol geometry); energy relative to the lowest polymorph listed for this composition = 34 meV per atom; ΔH_f (0 K) = 0.264 eV per atom; ρ = 11.75 g cm⁻³
1.0
2.8080 -0.0084 0.0000
-1.0378 5.0530 0.0000
-0.8851 -2.5223 4.6106
Ta Fe Sc
2 1 1
direct
0.5000 0.5000 0.5000
0.0000 0.0000 0.5000
0.5000 0.0000 0.0000
0.0000 0.5000 0.0000

=====

Record 16
HgBr2 (meta-GGA SCAN, PBEsol geometry); formation energy from raw total energies = -0.385 eV per atom; ρ = 5.93 g cm⁻³
1.0
-2.7976 2.8732 -0.0963
-3.9974 -4.0094 -3.4943
-2.9537 -2.6605 6.4317
Br Hg
4 2
direct
0.0000 0.2644 0.6384
0.0000 0.7356 0.3616
0.5000 0.7644 0.8616
0.5000 0.2356 0.1384
0.0000 0.0000 0.0000
0.5000 0.5000 0.5000

=====

Record 17
YAlPCl2 (meta-GGA SCAN, PBEsol geometry); formation energy from raw total energies = -0.837 eV per atom; ρ = 2.55 g cm⁻³
1.0
5.0600 0.0000 0.0000
0.0000 5.0600 0.0000
0.0000 0.0000 5.5298
Cl Y Al P
2 1 1 1
direct
0.5000 0.0000 0.0000
0.0000 0.5000 0.0000
0.0000 0.0000 0.0000
0.5000 0.5000 0.5000
0.0000 0.0000 0.5000

=====

Record 18
Mg2ScW (meta-GGA SCAN, PBEsol geometry); energy relative to the lowest polymorph listed for this composition = 167 meV per atom; ΔH_f (0 K) = 0.531 eV per atom; ρ = 6.18 g cm⁻³
1.0
-3.0316 2.0107 -3.0127
0.5341 -0.6175 -4.6522
-3.0709 -2.6720 -2.3957
W Mg Sc
1 2 1
direct
0.5000 0.5000 0.5000
0.2500 0.2500 0.2500
0.7500 0.7500 0.7500
0.0000 0.0000 0.0000

=====

Record 19
Sb2RhPb (meta-GGA SCAN, PBEsol geometry); formation energy from raw total energies = 0.332 eV per atom; ρ = 10.15 g cm⁻³
1.0
-2.5504 3.1133 -1.5756
-3.2192 -3.0321 -0.7804
-1.7324 0.7408 4.2680
Rh Sb Pb
1 2 1
direct
0.0000 0.5000 0.5000
0.5000 0.0000 0.5000
0.0000 0.0000 0.0000
0.5000 0.5000 0.0000

=====

Record 20
KOs2Br (meta-GGA SCAN, PBEsol geometry); energy relative to the lowest polymorph listed for this composition = 1318 meV per atom; formation energy from raw total energies = 1.866 eV per atom; ρ = 11.23 g cm⁻³
1.0
-0.0689 -2.1467 1.7996
2.7867 -0.2356 -0.1744
0.9567 5.9942 7.1871
Br K Os
1 1 2
direct
0.5000 0.5000 0.0000
0.5000 0.5000 0.5000
0.0000 0.0000 0.2056
0.0000 0.0000 0.7944

=====

Record 21
SrYMg2 (meta-GGA SCAN, PBEsol geometry); energy relative to the lowest polymorph listed for this composition = 30 meV per atom; ΔH_f (0 K) = -0.004 eV per atom; ρ = 3.07 g cm⁻³
1.0
5.5623 0.0000 0.0000
2.7812 4.8171 0.0000
2.7812 1.6057 4.5416
Y Mg Sr
1 2 1
direct
0.0000 0.0000 0.0000
0.7500 0.7500 0.7500
0.2500 0.2500 0.2500
0.5000 0.5000 0.5000

=====

Record 22
LiTc2Br (meta-GGA SCAN, PBEsol geometry); energy relative to the lowest polymorph listed for this composition = 112 meV per atom; formation energy from raw total energies = 1.037 eV per atom; ρ = 8.67 g cm⁻³
1.0
-2.3908 -1.6164 -0.8282
2.5411 -2.6881 -2.0889
0.3831 -2.3644 3.5085
Tc Br Li
2 1 1
direct
0.0000 0.5000 0.0000
0.0000 0.0000 0.5000
0.5000 0.5000 0.5000
0.5000 0.0000 0.0000

=====

Record 23
BaHgMo2 (meta-GGA SCAN, PBEsol geometry); ΔH_f (0 K) = 1.172 eV per atom; ρ = 10.59 g cm⁻³
1.0
-0.1733 2.6508 1.1199
-2.1580 -0.8619 1.7061
6.6030 -2.5520 7.0627
Ba Mo Hg
1 2 1
direct
0.5000 0.5000 0.0000
0.0000 0.0000 0.2877
0.0000 0.0000 0.7123
0.5000 0.5000 0.5000

=====

Record 24
LiSbF2 (meta-GGA SCAN, PBEsol geometry); formation energy from raw total energies = -1.197 eV per atom; ρ = 4.73 g cm⁻³
1.0
4.3589 0.0000 0.0000
2.1794 3.7749 0.0000
2.1794 1.2583 3.5590
F Li Sb
2 1 1
direct
0.2500 0.2500 0.2500
0.7500 0.7500 0.7500
0.0000 0.0000 0.0000
0.5000 0.5000 0.5000

=====

Record 25
KCd2Te (meta-GGA SCAN, PBEsol geometry); formation energy from raw total energies = -0.284 eV per atom; ρ = 5.20 g cm⁻³
1.0
4.4868 0.0000 0.0000
2.2434 5.4450 -0.1629
2.2434 2.0197 5.0592
Te Cd K
1 2 1
direct
0.7034 0.7966 0.7966
0.2976 0.2024 0.2024
0.9984 0.0016 0.0016
0.5006 0.4994 0.4994